Below is crystalline LiLaNdOs at its relaxed geometry, with properties calculated at the PBE level.

Calculated formation energy ... -0.066 eV per atom

Cell and atoms, written as CIF:
```
data_LiLaNdOs
_cell_length_a 7.2109
_cell_length_b 7.2109
_cell_length_c 7.2109
_cell_angle_alpha 90.00
_cell_angle_beta 90.00
_cell_angle_gamma 90.00
_space_group_name_H-M_alt 'P 1'
_space_group_IT_number 1
loop_
_space_group_symop_operation_xyz
'x,y,z'
loop_
_atom_site_label
_atom_site_fract_x
_atom_site_fract_y
_atom_site_fract_z
Li1 0.0000 0.0000 0.0000
Li2 0.0000 0.5000 0.5000
Li3 0.5000 0.0000 0.5000
Li4 0.5000 0.5000 0.0000
La1 0.2500 0.2500 0.7500
La2 0.2500 0.7500 0.2500
La3 0.7500 0.2500 0.2500
La4 0.7500 0.7500 0.7500
Nd1 0.2500 0.2500 0.2500
Nd2 0.2500 0.7500 0.7500
Nd3 0.7500 0.2500 0.7500
Nd4 0.7500 0.7500 0.2500
Os1 0.0000 0.0000 0.5000
Os2 0.0000 0.5000 0.0000
Os3 0.5000 0.0000 0.0000
Os4 0.5000 0.5000 0.5000
```